# PmPu3Zr2N6 (GGA-PBE, optimized geometry)
# raw formation energy = -1448 meV per atom
# crystal system = monoclinic
# SG = C2/m, No. 12
data_PmPu3Zr2N6
_space_group_name_H-M_alt 'P 1'
_space_group_IT_number 1
_space_group_name_Hall 'P 1'
_cell_length_a 5.9383
_cell_length_b 5.9383
_cell_length_c 5.9093
_cell_angle_alpha 99.64
_cell_angle_beta 99.64
_cell_angle_gamma 119.92
loop_
_atom_site_label
_atom_site_type_symbol
_atom_site_fract_x
_atom_site_fract_y
_atom_site_fract_z
Pu1 Pu 0.1651 0.8349 0.5000
Pu2 Pu 0.5000 0.5000 0.5000
N1 N 0.5653 0.9177 0.7541
N2 N 0.0823 0.4347 0.2459
N3 N 0.7271 0.7271 0.2420
Zr1 Zr 0.6667 0.3333 0.0000
Zr2 Zr 0.3333 0.6667 0.0000
Pm1 Pm 0.0000 0.0000 0.0000
Pu3 Pu 0.8349 0.1651 0.5000
N4 N 0.9177 0.5653 0.7541
N5 N 0.4347 0.0823 0.2459
N6 N 0.2729 0.2729 0.7580